A plane-wave DFT calculation with PBE was carried out for an optimized crystal structure of Pm8AuS6.

Unit cell a=4.086 b=10.414 c=10.414 alpha=120.00 beta=90.00 gamma=90.00
Element x y z (fractional)
Pm (0.749, 0.966, 0.296)
Pm (0.749, 0.704, 0.670)
Pm (0.749, 0.330, 0.034)
Pm (0.251, 0.034, 0.704)
Pm (0.251, 0.296, 0.330)
Pm (0.251, 0.670, 0.966)
Pm (0.750, 0.333, 0.667)
Pm (0.250, 0.667, 0.333)
Au (0.500, 0.000, 0.000)
S (0.750, 0.651, 0.134)
S (0.750, 0.866, 0.517)
S (0.750, 0.483, 0.349)
S (0.250, 0.349, 0.866)
S (0.250, 0.134, 0.483)
S (0.250, 0.517, 0.651)

N(E_F), states/eV/atom: 0.827
Uncorrected formation energy, eV per atom: -1.517
Total magnetic moment, μB per formula unit: 0.00

A plane-wave DFT calculation with PBE was carried out for an optimized crystal structure of Pm4Au2S.

Unit cell a=5.334 b=5.334 c=8.205 alpha=108.97 beta=108.97 gamma=90.00
Element x y z (fractional)
S (0.000, 0.000, 0.000)
Au (0.612, 0.612, 0.224)
Au (0.388, 0.388, 0.776)
Pm (0.808, 0.808, 0.615)
Pm (0.192, 0.192, 0.385)
Pm (0.000, 0.500, 0.000)
Pm (0.500, 0.000, 0.000)

N(E_F), states/eV/atom: 1.253
Uncorrected formation energy, eV per atom: -0.838
Total magnetic moment, μB per formula unit: 0.00

A plane-wave DFT calculation with PBE was carried out for an optimized crystal structure of Pm6Au2S.

Unit cell a=6.786 b=7.488 c=10.479 alpha=90.00 beta=87.14 gamma=90.00
Element x y z (fractional)
Pm (0.149, 0.029, 0.247)
Pm (0.167, 0.326, 0.567)
Pm (0.167, 0.305, 0.936)
Pm (0.333, 0.805, 0.564)
Pm (0.333, 0.826, 0.933)
Pm (0.351, 0.529, 0.253)
Pm (0.851, 0.971, 0.753)
Pm (0.833, 0.674, 0.433)
Pm (0.833, 0.695, 0.064)
Pm (0.667, 0.195, 0.436)
Pm (0.667, 0.174, 0.067)
Pm (0.649, 0.471, 0.747)
Au (0.065, 0.613, 0.764)
Au (0.435, 0.113, 0.736)
Au (0.565, 0.887, 0.264)
Au (0.935, 0.387, 0.236)
S (0.500, 0.500, 0.000)
S (0.000, 0.000, 0.500)

N(E_F), states/eV/atom: 1.045
Uncorrected formation energy, eV per atom: -0.789
Total magnetic moment, μB per formula unit: 0.00

A plane-wave DFT calculation with PBE was carried out for an optimized crystal structure of Pm2AuS.

Unit cell a=3.585 b=3.585 c=7.241 alpha=90.00 beta=90.00 gamma=90.00
Element x y z (fractional)
S (0.500, 0.500, 0.000)
Au (0.500, 0.500, 0.500)
Pm (0.000, 0.000, 0.760)
Pm (0.000, 0.000, 0.240)

N(E_F), states/eV/atom: 0.846
Offset from the most stable computed form, meV per atom: 258
Uncorrected formation energy, eV per atom: -1.144
Total magnetic moment, μB per formula unit: 0.00

A plane-wave DFT calculation with PBE was carried out for an optimized crystal structure of Pm2AuS.

Unit cell a=4.068 b=4.068 c=7.560 alpha=74.39 beta=74.39 gamma=60.00
Element x y z (fractional)
S (0.000, 0.000, 0.000)
Au (0.500, 0.500, 0.500)
Pm (0.256, 0.256, 0.231)
Pm (0.744, 0.744, 0.769)

N(E_F), states/eV/atom: 0.767
Offset from the most stable computed form, meV per atom: 61
Uncorrected formation energy, eV per atom: -1.341
Total magnetic moment, μB per formula unit: 0.00

A plane-wave DFT calculation with PBE was carried out for an optimized crystal structure of Pm2AuS.

Unit cell a=3.993 b=3.993 c=7.783 alpha=75.13 beta=75.13 gamma=60.00
Element x y z (fractional)
Pm (0.076, 0.076, 0.773)
Pm (0.257, 0.257, 0.229)
Au (0.499, 0.499, 0.503)
S (0.668, 0.668, 0.995)

N(E_F), states/eV/atom: 0.773
Offset from the most stable computed form, meV per atom: 87
Uncorrected formation energy, eV per atom: -1.315
Total magnetic moment, μB per formula unit: 0.00

A plane-wave DFT calculation with PBE was carried out for an optimized crystal structure of Pm2AuS.

Unit cell a=4.237 b=4.014 c=11.897 alpha=99.71 beta=90.00 gamma=90.00
Element x y z (fractional)
Pm (0.750, 0.689, 0.378)
Pm (0.250, 0.311, 0.622)
Pm (0.750, 0.928, 0.856)
Pm (0.250, 0.072, 0.144)
Au (0.250, 0.455, 0.911)
Au (0.750, 0.545, 0.089)
S (0.250, 0.192, 0.383)
S (0.750, 0.808, 0.617)

N(E_F), states/eV/atom: 0.617
Offset from the most stable computed form, meV per atom: 0
Uncorrected formation energy, eV per atom: -1.402
Total magnetic moment, μB per formula unit: 0.00

A plane-wave DFT calculation with PBE was carried out for an optimized crystal structure of Pm4AuS3.

Unit cell a=4.061 b=7.142 c=7.142 alpha=109.28 beta=90.00 gamma=90.00
Element x y z (fractional)
S (0.000, 0.000, 0.500)
S (0.500, 0.500, 0.500)
S (0.000, 0.500, 0.000)
Au (0.500, 0.000, 0.000)
Pm (0.000, 0.260, 0.260)
Pm (0.500, 0.744, 0.256)
Pm (0.000, 0.740, 0.740)
Pm (0.500, 0.256, 0.744)

N(E_F), states/eV/atom: 0.704
Uncorrected formation energy, eV per atom: -1.691
Total magnetic moment, μB per formula unit: 0.00

A plane-wave DFT calculation with PBE was carried out for an optimized crystal structure of PmSbAuS.

Unit cell a=4.633 b=4.633 c=11.622 alpha=78.50 beta=78.50 gamma=60.00
Element x y z (fractional)
Pm (0.112, 0.112, 0.663)
Pm (0.888, 0.888, 0.337)
Sb (0.706, 0.706, 0.881)
Sb (0.294, 0.294, 0.119)
Au (0.617, 0.617, 0.148)
Au (0.383, 0.383, 0.852)
S (0.803, 0.803, 0.591)
S (0.197, 0.197, 0.409)

N(E_F), states/eV/atom: 0.157
Uncorrected formation energy, eV per atom: -1.035
Total magnetic moment, μB per formula unit: 0.00

A plane-wave DFT calculation with PBE was carried out for an optimized crystal structure of Pm6AuSe3S2.

Unit cell a=7.194 b=7.194 c=7.229 alpha=99.55 beta=99.55 gamma=119.98
Element x y z (fractional)
Pm (0.920, 0.576, 0.758)
Pm (0.737, 0.737, 0.240)
Pm (0.080, 0.424, 0.242)
Pm (0.576, 0.920, 0.758)
Pm (0.263, 0.263, 0.760)
Pm (0.424, 0.080, 0.242)
Au (0.000, 0.000, 0.000)
Se (0.164, 0.836, 0.500)
Se (0.836, 0.164, 0.500)
Se (0.500, 0.500, 0.500)
S (0.334, 0.666, 0.000)
S (0.666, 0.334, 0.000)

N(E_F), states/eV/atom: 0.438
Uncorrected formation energy, eV per atom: -1.739
Total magnetic moment, μB per formula unit: 0.00

A plane-wave DFT calculation with PBE was carried out for an optimized crystal structure of Pm4Te2AuS.

Unit cell a=4.217 b=7.543 c=7.603 alpha=108.60 beta=90.00 gamma=90.00
Element x y z (fractional)
Pm (0.500, 0.230, 0.221)
Pm (0.500, 0.770, 0.779)
Pm (0.000, 0.255, 0.773)
Pm (0.000, 0.745, 0.227)
Te (0.500, 0.000, 0.500)
Te (0.000, 0.500, 0.500)
Au (0.500, 0.500, 0.000)
S (0.000, 0.000, 0.000)

N(E_F), states/eV/atom: 0.708
Uncorrected formation energy, eV per atom: -1.400
Total magnetic moment, μB per formula unit: 0.00

A plane-wave DFT calculation with PBE was carried out for an optimized crystal structure of PmTlAuS2.

Unit cell a=5.618 b=6.487 c=7.868 alpha=104.53 beta=90.00 gamma=90.00
Element x y z (fractional)
Pm (0.503, 0.000, 0.250)
Pm (0.497, 0.000, 0.750)
Tl (0.180, 0.500, 0.750)
Tl (0.820, 0.500, 0.250)
Au (0.000, 0.000, 0.000)
Au (0.000, 0.000, 0.500)
S (0.690, 0.742, 0.945)
S (0.690, 0.258, 0.555)
S (0.310, 0.742, 0.445)
S (0.310, 0.258, 0.055)

N(E_F), states/eV/atom: 0.384
Uncorrected formation energy, eV per atom: -0.860
Total magnetic moment, μB per formula unit: 0.00